No. 1
The following is a DFT calculation (PBEsol) of a relaxed structure of Na2FeSO4F3.

- ΔE_f (raw): -1.971 eV/atom

Cell and atoms, written as CIF:
```
data_Na2FeSO4F3
_chemical_formula_sum 'Na4 Fe2 S2 O8 F6'
_space_group_name_H-M_alt 'P 1 21/m 1'
_space_group_IT_number 11
_cell_length_a 5.666
_cell_length_b 7.420
_cell_length_c 6.922
_cell_angle_alpha 90.00
_cell_angle_beta 110.27
_cell_angle_gamma 90.00
loop_
_space_group_symop_operation_xyz
'x,y,z'
'-x,-y,-z'
'-x,y+1/2,-z'
'x,-y+1/2,z'
loop_
_atom_site_label
_atom_site_fract_x
_atom_site_fract_y
_atom_site_fract_z
_atom_site_occupancy
Na1 0.000 0.000 0.000 1
Na2 0.059 0.250 0.582 1
Fe1 0.500 0.000 0.500 1
S1 0.467 0.750 0.881 1
O1 0.272 0.250 0.974 1
O2 0.276 0.750 0.978 1
O3 0.427 0.586 0.743 1
F1 0.145 0.504 0.352 1
F2 0.459 0.250 0.581 1
```

***

No. 2
The following is a DFT calculation (PBEsol) of a relaxed structure of Rb2NaFeF6.

- ΔE_f (raw): -2.526 eV/atom
- D(E_F): 10.89 states/eV/f.u.

Cell and atoms, written as CIF:
```
data_Rb2NaFeF6
_chemical_formula_sum 'Rb8 Na4 Fe4 F24'
_space_group_name_H-M_alt 'F m -3 m'
_space_group_IT_number 225
_space_group_name_Hall '-F 4 2 3'
_cell_length_a 8.293
_cell_length_b 8.293
_cell_length_c 8.293
_cell_angle_alpha 90.00
_cell_angle_beta 90.00
_cell_angle_gamma 90.00
loop_
_atom_site_label
_atom_site_fract_x
_atom_site_fract_y
_atom_site_fract_z
_atom_site_occupancy
Rb1 0.250 0.250 0.250 1
Na1 0.000 0.000 0.000 1
Fe1 0.000 0.000 0.500 1
F1 0.000 0.000 0.275 1
```

***

No. 3
The following is a DFT calculation (PBEsol) of a relaxed structure of NaYFe2F.

- ΔE_f (raw): 1.143 eV/atom
- D(E_F): 5.32 states/eV/f.u.

Cell and atoms, written as CIF:
```
data_NaYFe2F
_chemical_formula_sum 'Na1 Y1 Fe2 F1'
_space_group_name_H-M_alt 'P 4/m m m'
_space_group_IT_number 123
_space_group_name_Hall '-P 4 2'
_cell_length_a 4.545
_cell_length_b 4.545
_cell_length_c 8.470
_cell_angle_alpha 90.00
_cell_angle_beta 90.00
_cell_angle_gamma 90.00
loop_
_atom_site_label
_atom_site_fract_x
_atom_site_fract_y
_atom_site_fract_z
_atom_site_occupancy
Na1 0.000 0.000 0.000 1
Y1 0.000 0.000 0.500 1
Fe1 0.000 0.500 0.500 1
F1 0.500 0.500 0.000 1
```

***

No. 4
The following is a DFT calculation (PBEsol) of a relaxed structure of Nb2FeRuF.

- ΔE_f (raw): 1.073 eV/atom
- D(E_F): 4.07 states/eV/f.u.

Cell and atoms, written as CIF:
```
data_Nb2FeRuF
_chemical_formula_sum 'Nb2 Fe1 Ru1 F1'
_space_group_name_H-M_alt 'P 4/m m m'
_space_group_IT_number 123
_space_group_name_Hall '-P 4 2'
_cell_length_a 4.722
_cell_length_b 4.722
_cell_length_c 4.545
_cell_angle_alpha 90.00
_cell_angle_beta 90.00
_cell_angle_gamma 90.00
loop_
_atom_site_label
_atom_site_fract_x
_atom_site_fract_y
_atom_site_fract_z
_atom_site_occupancy
Nb1 0.000 0.500 0.000 1
Fe1 0.000 0.000 0.500 1
Ru1 0.000 0.000 0.000 1
F1 0.500 0.500 0.500 1
```